Entry 1:
NaSr5Cd3 after structural relaxation, computed with GGA-PBE.

Unit cell a=7.354 b=10.382 c=10.380 alpha=120.01 beta=90.00 gamma=90.00
Positions (direct):
Na1 0.000 0.000 0.000
Na2 0.500 0.000 0.000
Sr1 0.000 0.667 0.333
Sr2 0.500 0.333 0.667
Sr3 0.000 0.333 0.667
Sr4 0.500 0.667 0.333
Sr5 0.750 0.693 0.693
Sr6 0.750 0.000 0.307
Sr7 0.750 0.307 0.000
Sr8 0.250 0.307 0.307
Sr9 0.250 0.000 0.693
Sr10 0.250 0.693 0.000
Cd1 0.750 0.363 0.363
Cd2 0.750 0.000 0.637
Cd3 0.750 0.637 0.000
Cd4 0.250 0.637 0.637
Cd5 0.250 0.000 0.363
Cd6 0.250 0.363 0.000

Values from the calculation:
Space group = P6_3/mcm, No. 193


Entry 2:
NaSr3Cd2 after structural relaxation, computed with GGA-PBE.

Unit cell a=4.114 b=4.114 c=13.212 alpha=90.00 beta=90.00 gamma=90.00
Positions (direct):
Na1 0.500 0.500 0.500
Sr1 0.000 0.000 0.000
Sr2 0.000 0.000 0.701
Sr3 0.000 0.000 0.299
Cd1 0.500 0.500 0.844
Cd2 0.500 0.500 0.156

Values from the calculation:
Space group = P4/mmm, No. 123


Entry 3:
NaSr6Cd after structural relaxation, computed with GGA-PBE.

Unit cell a=8.245 b=8.262 c=8.621 alpha=61.44 beta=61.58 gamma=59.98
Positions (direct):
Na1 0.500 0.500 0.500
Sr1 0.041 0.432 0.757
Sr2 0.771 0.039 0.756
Sr3 0.568 0.229 0.243
Sr4 0.229 0.961 0.244
Sr5 0.959 0.568 0.243
Sr6 0.432 0.771 0.757
Cd1 0.000 0.000 0.000

Values from the calculation:
Relative energy among the computed polymorphs = 13.10 kJ/mol of atoms
Space group = P-1, No. 2


Entry 4:
Na2SrCd after structural relaxation, computed with GGA-PBE.

Unit cell a=4.847 b=4.847 c=13.083 alpha=79.33 beta=79.33 gamma=90.00
Positions (direct):
Sr1 0.500 0.500 0.000
Sr2 0.250 0.750 0.500
Na1 0.662 0.125 0.250
Na2 0.088 0.625 0.250
Na3 0.375 0.338 0.750
Na4 0.875 0.912 0.750
Cd1 0.000 0.000 0.000
Cd2 0.750 0.250 0.500

Values from the calculation:
Space group = I-42d, No. 122


Entry 5:
Na2SrCd after structural relaxation, computed with GGA-PBE.

Unit cell a=5.789 b=4.951 c=4.951 alpha=90.00 beta=90.00 gamma=90.00
Positions (direct):
Sr1 0.500 0.500 0.500
Na1 0.000 0.000 0.500
Na2 0.000 0.500 0.000
Cd1 0.500 0.000 0.000

Values from the calculation:
Space group = P4/mmm, No. 123


Entry 6:
Na2SrCd2 after structural relaxation, computed with GGA-PBE.

Unit cell a=5.550 b=5.550 c=6.566 alpha=65.00 beta=65.00 gamma=90.00
Positions (direct):
Sr1 0.000 0.000 0.000
Na1 0.363 0.363 0.274
Na2 0.637 0.637 0.726
Cd1 0.750 0.250 0.500
Cd2 0.250 0.750 0.500

Values from the calculation:
Relative energy among the computed polymorphs = 12.14 kJ/mol of atoms
Space group = I4/mmm, No. 139


Entry 7:
Na5Sr6Cd after structural relaxation, computed with GGA-PBE.

Unit cell a=6.259 b=8.766 c=9.874 alpha=90.00 beta=108.24 gamma=90.00
Positions (direct):
Na1 0.670 0.500 0.342
Na2 0.328 0.000 0.653
Na3 0.000 0.500 0.000
Na4 0.672 0.000 0.347
Na5 0.330 0.500 0.658
Cd1 0.000 0.000 0.000
Sr1 0.844 0.761 0.687
Sr2 0.844 0.239 0.687
Sr3 0.500 0.231 0.000
Sr4 0.500 0.769 0.000
Sr5 0.156 0.761 0.313
Sr6 0.156 0.239 0.313

Values from the calculation:
Space group = P2/m, No. 10


Entry 8:
Na2Sr6Cd after structural relaxation, computed with GGA-PBE.

Unit cell a=10.241 b=10.241 c=10.241 alpha=73.84 beta=69.69 gamma=112.00
Positions (direct):
Na1 0.137 0.637 0.500
Na2 0.863 0.363 0.500
Na3 0.364 0.000 0.636
Na4 0.636 0.000 0.364
Sr1 0.178 0.749 0.073
Sr2 0.822 0.251 0.927
Sr3 0.178 0.251 0.570
Sr4 0.822 0.749 0.430
Sr5 0.452 0.263 0.811
Sr6 0.548 0.737 0.189
Sr7 0.074 0.263 0.189
Sr8 0.926 0.737 0.811
Sr9 0.325 0.062 0.263
Sr10 0.675 0.938 0.737
Sr11 0.325 0.587 0.737
Sr12 0.675 0.413 0.263
Cd1 0.500 0.500 0.000
Cd2 0.000 0.000 0.000

Values from the calculation:
Relative energy among the computed polymorphs = 3.03 kJ/mol of atoms
Space group = Immm, No. 71


Entry 9:
NaSr5Cd2 after structural relaxation, computed with GGA-PBE.

Unit cell a=9.170 b=9.170 c=10.356 alpha=116.28 beta=116.28 gamma=90.00
Positions (direct):
Na1 0.750 0.750 0.500
Na2 0.250 0.250 0.500
Sr1 0.520 0.701 0.720
Sr2 0.799 0.980 0.280
Sr3 0.000 0.000 0.000
Sr4 0.500 0.500 0.000
Sr5 0.201 0.020 0.720
Sr6 0.701 0.201 0.720
Sr7 0.020 0.520 0.720
Sr8 0.299 0.799 0.280
Sr9 0.980 0.480 0.280
Sr10 0.480 0.299 0.280
Cd1 0.130 0.370 0.000
Cd2 0.630 0.130 0.000
Cd3 0.370 0.870 0.000
Cd4 0.870 0.630 0.000

Values from the calculation:
Space group = I4/mcm, No. 140


Entry 10:
Na2Sr2Cd after structural relaxation, computed with GGA-PBE.

Unit cell a=8.925 b=8.925 c=5.694 alpha=90.00 beta=90.00 gamma=90.00
Positions (direct):
Sr1 0.339 0.839 0.000
Sr2 0.839 0.661 0.000
Sr3 0.661 0.161 0.000
Sr4 0.161 0.339 0.000
Na1 0.147 0.647 0.500
Na2 0.647 0.853 0.500
Na3 0.853 0.353 0.500
Na4 0.353 0.147 0.500
Cd1 0.000 0.000 0.000
Cd2 0.500 0.500 0.000

Values from the calculation:
Relative energy among the computed polymorphs = 21.40 kJ/mol of atoms
Space group = P4/mbm, No. 127


Entry 11:
Na2Sr2Cd after structural relaxation, computed with GGA-PBE.

Unit cell a=8.254 b=8.254 c=5.740 alpha=90.00 beta=90.00 gamma=90.00
Positions (direct):
Sr1 0.182 0.682 0.500
Sr2 0.682 0.818 0.500
Sr3 0.818 0.318 0.500
Sr4 0.318 0.182 0.500
Na1 0.365 0.865 0.000
Na2 0.865 0.635 0.000
Na3 0.635 0.135 0.000
Na4 0.135 0.365 0.000
Cd1 0.000 0.000 0.000
Cd2 0.500 0.500 0.000

Values from the calculation:
Relative energy among the computed polymorphs = 14.15 kJ/mol of atoms
Space group = P4/mbm, No. 127


Entry 12:
Na2SrCd after structural relaxation, computed with GGA-PBE.

Unit cell a=4.769 b=6.483 c=10.000 alpha=90.00 beta=90.00 gamma=111.58
Positions (direct):
Na1 0.350 0.700 0.553
Na2 0.650 0.300 0.447
Na3 0.650 0.300 0.053
Na4 0.350 0.700 0.947
Sr1 0.944 0.889 0.250
Sr2 0.056 0.111 0.750
Cd1 0.237 0.474 0.250
Cd2 0.763 0.526 0.750

Values from the calculation:
Space group = Cmcm, No. 63


| no. | E_form (kJ/mol of formula units) | size of the total moment (μB per cell) |
| --- | --- | --- |
| 1 | -148 | 0.0 |
| 2 | -131 | 0.0 |
| 3 | 60 | 0.0 |
| 4 | 2 | 0.0 |
| 5 | -26 | 0.0 |
| 6 | -18 | 0.0 |
| 7 | -33 | 0.0 |
| 8 | -14 | 0.0 |
| 9 | -133 | 0.0 |
| 10 | 39 | 0.0 |
| 11 | 3 | 0.0 |
| 12 | -36 | 0.0 |